PaTa2Au2: optimized geometry, GGA-PBE.

Cell: 7.2641 7.2641 7.2641 Å, 148.34 148.34 45.39°
Closest atoms and distances in Å follow each position.
Sites, in units of the cell vectors:
Au  0.4009  0.4009  0.0000  1 Au 2.66, 4 Ta 2.83
Au  0.5991  0.5991  0.0000  1 Au 2.66, 4 Ta 2.83
Pa  0.0000  0.0000  0.0000  8 Au 3.10
Ta  0.7500  0.2500  0.5000  4 Ta 2.80, 4 Au 2.83
Ta  0.2500  0.7500  0.5000  4 Ta 2.80, 4 Au 2.83

energy relative to the elements = 43.2 kJ/mol of formula units
total moment = 0.00 μB/atom
uncorrected energy = -7.8573 eV/atom
SG = I4/mmm (139)



MgCdSO: optimized geometry, GGA-PBE.

Cell: 6.8088 7.5536 5.7431 Å, 90.00 90.00 90.00°
Closest atoms and distances in Å follow each position.
Sites, in units of the cell vectors:
Cd  0.8630  0.3625  0.0023  2 O 2.24-2.26
Cd  0.1370  0.8625  0.4977  2 O 2.24-2.26
Cd  0.6370  0.6375  0.5023  2 O 2.24-2.26
Cd  0.3630  0.1375  0.9977  2 O 2.24-2.26
Mg  0.2984  0.5913  0.1120  2 O 1.93-1.96
Mg  0.7016  0.0913  0.3880  2 O 1.93-1.96
Mg  0.2016  0.4087  0.6120  2 O 1.93-1.96
Mg  0.7984  0.9087  0.8880  2 O 1.93-1.96
O  0.6885  0.1100  0.0487  2 Mg 1.93-1.96
O  0.3115  0.6100  0.4513  2 Mg 1.93-1.96
O  0.8115  0.8900  0.5487  2 Mg 1.93-1.96
O  0.1885  0.3900  0.9513  2 Mg 1.93-1.96
S  0.1384  0.8689  0.0047  2 Mg 2.43-2.44, 1 Cd 2.54
S  0.8616  0.3689  0.4953  2 Mg 2.43-2.44, 1 Cd 2.54
S  0.3616  0.1311  0.5047  2 Mg 2.43-2.44, 1 Cd 2.54
S  0.6384  0.6311  0.9953  2 Mg 2.43-2.44, 1 Cd 2.54

excess energy over the best structure of this formula in the dataset = 0.0946 eV per atom
uncorrected energy = -4.2891 eV/atom
SG = P2_12_12_1 (19)



Dy2Os2O5: optimized geometry, GGA-PBE.

Cell: 9.3507 3.5382 3.5382 Å, 90.00 90.00 90.00°
Closest atoms and distances in Å follow each position.
Sites, in units of the cell vectors:
Dy  0.2642  0.5000  0.5000  5 O 2.20
Dy  0.7358  0.5000  0.5000  5 O 2.20
O  0.1244  0.5000  0.0000  2 Os 2.12, 2 Dy 2.20, 1 O 2.33
O  0.8756  0.5000  0.0000  2 Os 2.12, 2 Dy 2.20, 1 O 2.33
O  0.1244  0.0000  0.5000  2 Os 2.12, 2 Dy 2.20, 1 O 2.33
O  0.8756  0.0000  0.5000  2 Os 2.12, 2 Dy 2.20, 1 O 2.33
O  0.5000  0.5000  0.5000  2 Dy 2.20
Os  0.0000  0.0000  0.0000  8 O 2.12
Os  0.5000  0.0000  0.0000  4 O 2.50

excess energy over the best structure of this formula in the dataset = 0.2831 eV per atom
total moment = 0.13 μB/atom
uncorrected energy = -7.6214 eV/atom
SG = P4/mmm (123)



Nd2CoSb4Pd: optimized geometry, GGA-PBE.

Cell: 4.4101 4.4101 10.0073 Å, 90.00 90.00 90.00°
Closest atoms and distances in Å follow each position.
Sites, in units of the cell vectors:
Co  0.0000  0.0000  0.0000  4 Sb 2.66
Nd  0.5000  0.0000  0.2480  8 Sb 3.27-3.35, 2 Pd 3.32, 2 Co 3.32
Nd  0.0000  0.5000  0.7520  8 Sb 3.27-3.35, 2 Co 3.32, 2 Pd 3.32
Pd  0.5000  0.5000  0.0000  4 Sb 2.66
Sb  0.0000  0.5000  0.1490  2 Co 2.66, 2 Pd 2.66
Sb  0.0000  0.0000  0.5000  4 Sb 3.12, 4 Nd 3.35
Sb  0.5000  0.5000  0.5000  4 Sb 3.12, 4 Nd 3.35
Sb  0.5000  0.0000  0.8510  2 Co 2.66, 2 Pd 2.66

total moment = 0.22 μB/atom
uncorrected energy = -5.5055 eV/atom
SG = P-4m2 (115)



TbYMg2Au4: optimized geometry, GGA-PBE.

Cell: 4.9033 4.9033 6.9335 Å, 90.00 90.00 90.00°
Closest atoms and distances in Å follow each position.
Sites, in units of the cell vectors:
Au  0.5000  0.0000  0.2500  4 Mg 3.00, 2 Tb 3.00, 2 Y 3.00
Au  0.0000  0.5000  0.2500  4 Mg 3.00, 2 Tb 3.00, 2 Y 3.00
Au  0.5000  0.0000  0.7500  4 Mg 3.00, 2 Tb 3.00, 2 Y 3.00
Au  0.0000  0.5000  0.7500  4 Mg 3.00, 2 Tb 3.00, 2 Y 3.00
Mg  0.5000  0.5000  0.0000  8 Au 3.00
Mg  0.0000  0.0000  0.5000  8 Au 3.00
Tb  0.0000  0.0000  0.0000  8 Au 3.00
Y  0.5000  0.5000  0.5000  8 Au 3.00

total moment = 0.00 μB/atom
uncorrected energy = -4.1889 eV/atom
SG = P4/mmm (123)



PrTc2B2: optimized geometry, GGA-PBE.

Cell: 5.9135 5.9135 5.9135 Å, 141.20 141.20 56.04°
Closest atoms and distances in Å follow each position.
Sites, in units of the cell vectors:
B  0.3361  0.3361  0.0000  4 Tc 2.16
B  0.6639  0.6639  0.0000  4 Tc 2.16
Pr  0.0000  0.0000  0.0000  10 B 3.26-3.51, 8 Tc 3.27
Tc  0.7500  0.2500  0.5000  4 B 2.16
Tc  0.2500  0.7500  0.5000  4 B 2.16

total moment = 0.00 μB/atom
uncorrected energy = -7.9970 eV/atom
SG = I4/mmm (139)



Na2Nb2Al2IrOs: optimized geometry, GGA-PBE.

Cell: 4.4899 4.4899 6.3454 Å, 90.00 90.00 90.00°
Closest atoms and distances in Å follow each position.
Sites, in units of the cell vectors:
Al  0.0000  0.5000  0.2532  4 Na 2.74-2.76, 2 Os 2.74, 2 Ir 2.76
Al  0.5000  0.0000  0.7468  2 Os 2.74, 4 Na 2.74-2.76, 2 Ir 2.76
Ir  0.0000  0.0000  0.0000  4 Nb 2.76, 4 Al 2.76
Na  0.5000  0.5000  0.0000  4 Nb 2.76, 4 Al 2.76
Na  0.0000  0.0000  0.5000  4 Al 2.74, 4 Nb 2.74
Nb  0.5000  0.0000  0.2525  4 Na 2.74-2.76, 2 Os 2.74, 2 Ir 2.76
Nb  0.0000  0.5000  0.7475  2 Os 2.74, 4 Na 2.74-2.76, 2 Ir 2.76
Os  0.5000  0.5000  0.5000  4 Al 2.74, 4 Nb 2.74

total moment = 0.00 μB/atom
uncorrected energy = -6.3462 eV/atom
SG = P-4m2 (115)



Sc4Pt: optimized geometry, GGA-PBE.

Cell: 6.3997 6.3997 5.6650 Å, 90.00 90.00 90.00°
Closest atoms and distances in Å follow each position.
Sites, in units of the cell vectors:
Pt  0.0000  0.0000  0.0000  8 Sc 2.78
Pt  0.5000  0.5000  0.0000  8 Sc 2.78
Sc  0.3325  0.1675  0.2532  2 Pt 2.78, 1 Sc 3.03
Sc  0.8325  0.3325  0.2532  2 Pt 2.78, 1 Sc 3.03
Sc  0.1675  0.6675  0.2532  2 Pt 2.78, 1 Sc 3.03
Sc  0.6675  0.8325  0.2532  2 Pt 2.78, 1 Sc 3.03
Sc  0.6675  0.1675  0.7468  2 Pt 2.78, 1 Sc 3.03
Sc  0.1675  0.3325  0.7468  2 Pt 2.78, 1 Sc 3.03
Sc  0.8325  0.6675  0.7468  2 Pt 2.78, 1 Sc 3.03
Sc  0.3325  0.8325  0.7468  2 Pt 2.78, 1 Sc 3.03

energy relative to the elements = -191.5 kJ/mol of formula units
total moment = 0.43 μB/atom
uncorrected energy = -6.6707 eV/atom
SG = P4/nbm (125)